Record 1
This record from Alexandria describes a crystal of KZn2Hg relaxed with PBEsol. The functional is SCAN.

It has space group P4/mmm (No. 123), with a = 3.684 Å, b = 3.684 Å, c = 7.280 Å, α = 90.00°, β = 90.00° and γ = 90.00°. The inequivalent atoms are K at (0.000, 0.000, 0.000), Zn at (0.500, 0.500, 0.319) and Hg at (0.000, 0.000, 0.500).

The calculation puts the energy relative to the elements at 0.114 eV per atom. The value obtained for the density of states at the Fermi level is 1.62 states/eV/cell.


Record 2
This record from Alexandria describes a crystal of Y2SiP relaxed with PBEsol. The functional is SCAN.

It has space group Cmmm (No. 65), with a = 4.344 Å, b = 5.205 Å, c = 7.434 Å, α = 90.00°, β = 90.00° and γ = 90.00°. The inequivalent atoms are Y at (0.000, 0.000, 0.236), Si at (0.000, 0.500, 0.500) and P at (0.000, 0.500, 0.000).

As for the excess energy over the best structure of this formula in the dataset: 0.00 eV per formula unit. The value obtained for the density of states at the Fermi level is 3.73 states/eV/cell. The value obtained for the formation energy (no corrections) is -883 meV/atom.


Record 3
This record from Alexandria describes a crystal of MnCr2Ag relaxed with PBEsol. The functional is SCAN.

It has space group Cmmm (No. 65), with a = 5.136 Å, b = 7.611 Å, c = 2.563 Å, α = 90.00°, β = 90.00° and γ = 90.00°. The inequivalent atoms are Mn at (0.000, 0.000, 0.000), Cr at (0.250, 0.250, 0.500) and Ag at (0.000, 0.500, 0.000).

The calculation puts the energy relative to the elements at 0.509 eV per atom. The value obtained for the density of states at the Fermi level is 7.12 states/eV/cell.


Question: Among the records above, which one has the highest density of states at the Fermi level?
Answer: MnCr2Ag